LiEr2ThTe4, relaxed, DFT PBE; total DFT energy (no corrections) = -5.060 eV/atom; space-group type = P2/m; spin magnetization = 0.0 μB/f.u.; formation energy without anion corrections = -1181 meV per atom; volume = 29.18 Å³/atom
1.0
4.300 0.000 0.000
0.000 7.668 0.221
0.000 -2.591 7.005
Te Th Li Er
4 1 1 2
Cartesian
0.000 5.035 1.914 Te
2.150 3.702 5.386 Te
2.150 1.375 1.840 Te
0.000 0.042 5.312 Te
0.000 0.000 0.000 Th
2.150 3.834 0.111 Li
0.000 2.539 3.613 Er
2.150 -1.296 3.502 Er

***

SmCu4Rh2, relaxed, DFT PBE; total DFT energy (no corrections) = -5.329 eV/atom; DFT formation energy = -20.6 kJ per mole of atoms; space-group type = C2/m; spin magnetization = 0.0 μB/f.u.; volume = 15.18 Å³/atom
1.0
-2.322 -0.411 -4.604
1.411 -3.807 -3.281
-4.292 -2.931 -0.483
Cu Rh Sm
4 2 1
Cartesian
-2.364 -1.252 -1.609 Cu
-2.840 -5.898 -6.760 Cu
-0.177 -1.587 -2.681 Cu
-5.027 -5.562 -5.688 Cu
-3.181 -3.670 -5.336 Rh
-2.022 -3.479 -3.033 Rh
0.000 0.000 0.000 Sm

***

TlTeOsO6, relaxed, DFT PBE; total DFT energy (no corrections) = -6.094 eV/atom; space-group type = Imma; spin magnetization = 0.5 μB/f.u.; formation energy without anion corrections = -929 meV per atom; volume = 15.21 Å³/atom
1.0
-5.796 -4.152 1.067
0.666 -2.678 -6.808
5.604 -0.368 4.656
O Os Te Tl
12 2 2 2
Cartesian
-1.266 -3.646 3.292 O
-2.271 -3.319 -0.898 O
-0.997 -2.011 1.117 O
3.850 -3.483 -2.640 O
-3.376 -3.716 1.555 O
3.446 -1.858 1.491 O
-2.972 -5.341 -2.576 O
-0.593 -3.636 -3.014 O
2.745 -3.879 -0.187 O
1.471 -5.188 -2.202 O
1.067 -3.563 1.929 O
1.740 -3.553 -4.377 O
-0.096 -2.260 2.861 Os
2.802 -0.184 2.328 Os
-2.565 -3.415 -2.871 Te
-2.898 -2.076 0.533 Te
0.951 -1.646 -1.241 Tl
-0.476 -5.553 0.156 Tl

***

CsSc2Au, relaxed, DFT PBE; total DFT energy (no corrections) = -4.089 eV/atom; DFT formation energy = 10.5 kJ per mole of atoms; energy above the most stable polymorph in this dataset = 0.00 eV/f.u.; space-group type = R-3m; spin magnetization = 0.0 μB/f.u.; volume = 31.57 Å³/atom
1.0
2.116 0.000 10.854
-1.058 1.833 10.854
-1.058 -1.833 10.854
Cs Sc Au
1 2 1
Cartesian
0.000 0.000 0.000 Cs
0.000 0.000 3.621 Sc
0.000 0.000 28.939 Sc
0.000 0.000 16.280 Au

***

ScCd2Pd2, relaxed, DFT PBE; total DFT energy (no corrections) = -4.187 eV/atom; DFT formation energy = -46.1 kJ per mole of atoms; energy above the most stable polymorph in this dataset = 0.22 eV/f.u.; space-group type = P4/mbm; spin magnetization = 0.0 μB/f.u.; volume = 19.34 Å³/atom
1.0
7.003 0.000 0.000
0.000 7.003 0.000
0.000 0.000 3.943
Cd Pd Sc
4 4 2
Cartesian
1.120 4.622 1.972 Cd
2.381 1.120 1.972 Cd
4.622 5.883 1.972 Cd
5.883 2.381 1.972 Cd
0.980 2.521 0.000 Pd
2.521 6.023 0.000 Pd
6.023 4.482 0.000 Pd
4.482 0.980 0.000 Pd
3.502 3.502 0.000 Sc
0.000 0.000 0.000 Sc

***

H2Ru2Pt, relaxed, DFT PBE; total DFT energy (no corrections) = -6.090 eV/atom; energy above the most stable polymorph in this dataset = 0.00 eV/f.u.; space-group type = I4/mmm; spin magnetization = 0.0 μB/f.u.; volume = 9.83 Å³/atom
1.0
3.458 0.000 0.000
0.000 3.458 0.000
1.729 1.729 4.109
Ru H Pt
2 2 1
Cartesian
1.729 1.729 1.316 Ru
3.458 3.458 2.793 Ru
3.458 1.729 2.055 H
1.729 3.458 2.055 H
0.000 0.000 0.000 Pt

***

SrSn3Br, relaxed, DFT PBE; total DFT energy (no corrections) = -2.323 eV/atom; energy above the most stable polymorph in this dataset = 3.13 eV/f.u.; space-group type = Pm-3m; spin magnetization = 1.9 μB/f.u.; formation energy without anion corrections = 749 meV per atom; volume = 48.58 Å³/atom
1.0
-4.585 1.747 3.854
-4.231 -1.877 -4.183
-0.012 -5.688 2.564
Sn Sr Br
3 1 1
Cartesian
-2.116 -0.939 -2.092 Sn
-2.293 0.873 1.927 Sn
-0.006 -2.844 1.282 Sn
0.000 0.000 0.000 Sr
-4.414 -2.909 1.117 Br

***

RbMoAu2, relaxed, DFT PBE; total DFT energy (no corrections) = -3.698 eV/atom; DFT formation energy = 85.9 kJ per mole of atoms; energy above the most stable polymorph in this dataset = 0.54 eV/f.u.; space-group type = Fm-3m; spin magnetization = 4.3 μB/f.u.; volume = 24.52 Å³/atom
1.0
0.000 3.660 3.660
3.660 0.000 3.660
3.660 3.660 0.000
Rb Au Mo
1 2 1
Cartesian
0.000 0.000 0.000 Rb
1.830 1.830 1.830 Au
5.490 5.490 5.490 Au
3.660 3.660 3.660 Mo

***

CeNdMgRh, relaxed, DFT PBE; total DFT energy (no corrections) = -5.139 eV/atom; DFT formation energy = -21.9 kJ per mole of atoms; space-group type = F-43m; spin magnetization = 0.7 μB/f.u.; volume = 24.48 Å³/atom
1.0
5.174 0.000 0.000
2.587 4.481 0.000
2.587 1.494 4.224
Rh Nd Mg Ce
1 1 1 1
Cartesian
7.761 4.481 3.168 Rh
5.174 2.987 2.112 Nd
2.587 1.494 1.056 Mg
0.000 0.000 0.000 Ce

***

NaCe2Hg6, relaxed, DFT PBE; total DFT energy (no corrections) = -1.948 eV/atom; DFT formation energy = -27.2 kJ per mole of atoms; energy above the most stable polymorph in this dataset = 0.16 eV/f.u.; space-group type = C2/m; spin magnetization = 2.1 μB/f.u.; volume = 25.61 Å³/atom
1.0
5.996 0.000 1.306
0.000 8.742 0.000
-1.004 -4.371 4.179
Hg Na Ce
6 1 2
Cartesian
2.998 7.305 0.653 Hg
0.652 2.904 1.620 Hg
4.340 -1.467 3.865 Hg
2.998 1.438 0.653 Hg
4.340 1.467 3.865 Hg
0.652 5.838 1.620 Hg
0.000 0.000 0.000 Na
3.651 4.371 2.223 Ce
1.341 0.000 3.261 Ce

***

Sr2NbCuCl, relaxed, DFT PBE; total DFT energy (no corrections) = -3.381 eV/atom; space-group type = P4/mmm; spin magnetization = 0.0 μB/f.u.; formation energy without anion corrections = 495 meV per atom; volume = 34.96 Å³/atom
1.0
-1.246 1.333 5.838
-4.153 -2.103 -0.406
2.512 -5.297 1.745
Sr Cu Nb Cl
2 1 1 1
Cartesian
-0.623 0.666 2.919 Sr
1.256 -2.648 0.873 Sr
-1.444 -3.034 3.589 Cu
0.000 0.000 0.000 Nb
-2.077 -1.052 -0.203 Cl